This record from Alexandria describes a relaxed structure of Tb3Sm4Cd2. The functional is PBE-GGA.

Computed properties:
Space-group type = No. 12
ΔH_f (0 K) = -65 kJ/mol of formula units
DOS at the Fermi energy = 1.158 states/eV per atom

Lattice parameters (Å, degrees): 4.9633 7.7645 7.8791 107.94 108.36 90.00
Closest atoms and distances in Å follow each position.
Sites, in units of the cell vectors:
Sm 0.2218 0.3168 0.4435  3 Cd 3.40-3.42, 4 Tb 3.43-3.64, 5 Sm 3.55-3.66
Sm 0.5544 0.3319 0.1087  2 Cd 3.43-3.50, 6 Tb 3.48-3.54, 4 Sm 3.49-3.57
Sm 0.4456 0.6681 0.8913  2 Cd 3.43-3.50, 6 Tb 3.48-3.54, 4 Sm 3.49-3.57
Sm 0.7782 0.6832 0.5565  3 Cd 3.40-3.42, 4 Tb 3.43-3.64, 5 Sm 3.55-3.66
Tb 0.0000 0.0000 0.0000  6 Sm 3.43-3.48, 2 Tb 3.47, 4 Cd 3.50
Tb 0.8857 0.3240 0.7714  3 Cd 3.42-3.46, 2 Tb 3.47-3.62, 7 Sm 3.48-3.64
Tb 0.1143 0.6760 0.2286  3 Cd 3.42-3.46, 2 Tb 3.47-3.62, 7 Sm 3.48-3.64
Cd 0.6641 0.9970 0.3283  5 Sm 3.40-3.50, 5 Tb 3.42-3.50, 2 Cd 3.56
Cd 0.3359 0.0030 0.6717  5 Sm 3.40-3.50, 5 Tb 3.42-3.50, 2 Cd 3.56